The following is a PBE-GGA calculation of VTc3Ge after structural relaxation, from Alexandria.

abc: 4.4824 4.4824 4.4824
angles: 90.00 90.00 90.00
Last column: nearest neighbours and their distance in Å.
Fractional positions:
1 V 0.0000 0.0000 0.0000  6 Tc 2.24
2 Tc 0.0000 0.0000 0.5000  2 V 2.24
3 Tc 0.0000 0.5000 0.0000  2 V 2.24
4 Tc 0.5000 0.0000 0.0000  2 V 2.24
5 Ge 0.5000 0.5000 0.5000  12 Tc 3.17

Total energy, eV per atom: -7.731
DFT formation energy, eV/atom: 1.2359
N(E_F), states/eV/atom: 0.49
Volume, A^3/atom: 18.01
Total moment, μB per cell: 2.38